The following is a PBE-GGA calculation of a geometry-optimized Cu2TeBr structure, from Alexandria.

Summary:
**Energy above the most stable polymorph in this dataset**: 0.053 eV per atom
**Total magnetic moment**: 0.000 μB per atom
**Space-group type**: No. 122
**ΔE_f (raw)**: -0.112 eV per atom
**Total energy**: -3.364 eV per atom

a b c (Å): 5.8637 5.8637 7.1409
angles (deg): 65.76 65.76 90.00
Closest atoms and distances in Å follow each position.
Positions (direct):
Te  0.7500  0.2500  0.5000  4 Cu 2.52
Br  0.5000  0.5000  0.0000  4 Cu 2.54
Cu  0.6275  0.1250  0.2500  2 Te 2.52, 2 Br 2.54
Cu  0.3750  0.3725  0.7500  2 Te 2.52, 2 Br 2.54
Cu  0.1225  0.6250  0.2500  2 Te 2.52, 2 Br 2.54
Te  0.0000  0.0000  0.0000  4 Cu 2.52
Br  0.2500  0.7500  0.5000  4 Cu 2.54
Cu  0.8750  0.8775  0.7500  2 Te 2.52, 2 Br 2.54



The following is a PBE-GGA calculation of a geometry-optimized CuTeBr2 structure, from Alexandria.

Summary:
**Total magnetic moment**: 0.000 μB per atom
**Space-group type**: No. 47
**ΔE_f (raw)**: 0.261 eV per atom
**Total energy**: -2.385 eV per atom

a b c (Å): 3.9512 7.8787 4.0240
angles (deg): 90.00 90.00 90.00
Closest atoms and distances in Å follow each position.
Positions (direct):
Br  0.0000  0.0000  0.0000  4 Cu 2.82
Br  0.5000  0.5000  0.0000  4 Te 2.82
Cu  0.5000  0.0000  0.5000  4 Br 2.82
Te  0.0000  0.5000  0.5000  4 Br 2.82



The following is a PBE-GGA calculation of a geometry-optimized CuTeBr4 structure, from Alexandria.

Summary:
**Energy above the most stable polymorph in this dataset**: 1.171 eV per atom
**Total magnetic moment**: 0.001 μB per atom
**Space-group type**: No. 216
**ΔE_f (raw)**: 0.904 eV per atom
**Total energy**: -1.417 eV per atom

a b c (Å): 6.1937 6.1937 6.1937
angles (deg): 60.00 60.00 60.00
Closest atoms and distances in Å follow each position.
Positions (direct):
Br  0.3754  0.3754  0.3754  6 Br 3.09-3.11
Br  0.8739  0.3754  0.3754  6 Br 3.09-3.11
Cu  0.7500  0.7500  0.7500  12 Br 3.63, 4 Te 3.79
Br  0.3754  0.8739  0.3754  6 Br 3.09-3.11
Br  0.3754  0.3754  0.8739  6 Br 3.09-3.11
Te  0.0000  0.0000  0.0000  12 Br 3.63, 4 Cu 3.79



- total magnetic moment of number 1 (Cu2TeBr)?
  0.000 μB per atom



- Which of these has the lowest total energy?
  Cu2TeBr



- What is the total energy in the second record?
  -2.385 eV per atom